Below is a PBEsol-optimized structure of SrF3, with properties calculated at the meta-GGA SCAN level.

Cell: 3.9470 3.9470 6.4879 Å, 90.00 90.00 90.00°
With the nearest neighbours (Å) after each atom.
Space group I4/mmm (No. 139)
One atom of each set of equivalent atoms:
Sr  0.0000  0.0000  0.0000 (multiplicity 2)  12 F 2.55-2.79
F  0.0000  0.0000  0.5000 (multiplicity 2)  8 F 2.55, 4 Sr 2.79
F  0.0000  0.5000  0.2500 (multiplicity 4)  8 F 2.55-2.79, 4 Sr 2.55

Calculated values
As for the raw formation energy: -3.025 eV/atom. Its size of the total moment is 0.2500 μB/atom.

=====

Below is a PBEsol-optimized structure of K2AsRh, with properties calculated at the meta-GGA SCAN level.

Cell: 7.1556 4.1291 9.5087 Å, 90.00 103.33 90.00°
With the nearest neighbours (Å) after each atom.
Space group Cm (No. 8)
One atom of each set of equivalent atoms:
K  0.0000  0.0000  0.0000 (multiplicity 2)  3 Rh 3.37, 3 As 3.37
K  0.1576  0.0000  0.5153 (multiplicity 2)  3 As 3.37, 3 Rh 3.37
As  0.2452  0.5000  0.2576 (multiplicity 2)  3 Rh 2.38-2.39
Rh  0.4118  0.0000  0.2575 (multiplicity 2)  3 As 2.38-2.39

Calculated values
As for the formation energy: -0.312 eV/atom. Its size of the total moment is 0.0152 μB/atom.

=====

Below is a PBEsol-optimized structure of MnCuTc, with properties calculated at the meta-GGA SCAN level.

Cell: 5.5951 5.5951 5.5951 Å, 90.00 90.00 90.00°
With the nearest neighbours (Å) after each atom.
Space group F-43m (No. 216)
One atom of each set of equivalent atoms:
Mn  0.0000  0.0000  0.0000 (multiplicity 4)  4 Cu 2.42
Cu  0.2500  0.2500  0.2500 (multiplicity 4)  4 Mn 2.42, 4 Tc 2.42
Tc  0.0000  0.0000  0.5000 (multiplicity 4)  4 Cu 2.42

Calculated values
As for the formation energy: 0.579 eV/atom. Its size of the total moment is 0.8865 μB/atom.

=====

Below is a PBEsol-optimized structure of BeTcTe, with properties calculated at the meta-GGA SCAN level.

Cell: 3.2465 3.2465 8.3084 Å, 90.00 90.00 90.00°
With the nearest neighbours (Å) after each atom.
Space group I4mm (No. 107)
One atom of each set of equivalent atoms:
Be  0.0000  0.0000  0.0000 (multiplicity 2)  4 Tc 2.54, 5 Te 2.62-2.76
Tc  0.0000  0.0000  0.6314 (multiplicity 2)  4 Be 2.54, 5 Te 2.63-2.76
Te  0.0000  0.0000  0.3150 (multiplicity 2)  5 Be 2.62-2.76, 5 Tc 2.63-2.76

Calculated values
As for the raw formation energy: 0.134 eV/atom. Its size of the total moment is 0.0001 μB/atom.

=====

Below is a PBEsol-optimized structure of Na4Bi2O5, with properties calculated at the meta-GGA SCAN level.

Cell: 4.9557 8.7989 8.9865 Å, 104.32 105.54 106.05°
With the nearest neighbours (Å) after each atom.
Space group P-1 (No. 2)
One atom of each set of equivalent atoms:
Na  0.0953  0.0062  0.1752 (multiplicity 2)  5 O 2.29-2.56
Na  0.1113  0.7023  0.5397 (multiplicity 2)  4 O 2.31-2.49
Na  0.1300  0.3804  0.8755 (multiplicity 2)  6 O 2.37-2.55
Na  0.3767  0.7962  0.9520 (multiplicity 2)  6 O 2.45-2.60
Bi  0.3584  0.4407  0.2684 (multiplicity 2)  3 O 2.06-2.14
Bi  0.3835  0.1247  0.6301 (multiplicity 2)  2 O 2.06-2.17
O  0.1409  0.2254  0.0617 (multiplicity 2)  1 Bi 2.06, 1 Na 2.29
O  0.1876  0.8788  0.3822 (multiplicity 2)  2 Bi 2.17-2.43, 2 Na 2.37-2.41
O  0.1973  0.5454  0.7061 (multiplicity 2)  1 Bi 2.12, 1 Na 2.31
O  0.3610  0.9759  0.7742 (multiplicity 2)  1 Bi 2.06
O  0.3696  0.6200  0.1451 (multiplicity 2)  2 Bi 2.14-2.35

Calculated values
As for the raw formation energy: -1.457 eV/atom. Its size of the total moment is 0.0000 μB/atom.

=====

Below is a PBEsol-optimized structure of K3NiI, with properties calculated at the meta-GGA SCAN level.

Cell: 6.4585 6.4585 6.4585 Å, 90.00 90.00 90.00°
With the nearest neighbours (Å) after each atom.
Space group Pm-3m (No. 221)
One atom of each set of equivalent atoms:
K  0.0000  0.0000  0.5000 (multiplicity 3)  2 I 3.23
Ni  0.5000  0.5000  0.5000 (multiplicity 1)  12 K 4.57
I  0.0000  0.0000  0.0000 (multiplicity 1)  6 K 3.23

Calculated values
As for the raw formation energy: 0.144 eV/atom. Its size of the total moment is 0.1035 μB/atom.

=====

Below is a PBEsol-optimized structure of FeCu2W, with properties calculated at the meta-GGA SCAN level.

Cell: 3.4125 3.4760 4.0705 Å, 90.00 90.00 90.00°
With the nearest neighbours (Å) after each atom.
Space group Pmmm (No. 47)
One atom of each set of equivalent atoms:
Fe  0.0000  0.0000  0.0000 (multiplicity 1)  4 W 2.44, 8 Cu 2.66-2.68
Cu  0.0000  0.5000  0.5000 (multiplicity 1)  4 Cu 2.44, 4 W 2.66, 4 Fe 2.68
Cu  0.5000  0.0000  0.5000 (multiplicity 1)  4 Cu 2.44, 4 Fe 2.66, 4 W 2.68
W  0.5000  0.5000  0.0000 (multiplicity 1)  4 Fe 2.44, 8 Cu 2.66-2.68

Calculated values
As for the formation energy: 0.450 eV/atom. Its size of the total moment is 0.0002 μB/atom.

=====

Below is a PBEsol-optimized structure of RbTc3Ni, with properties calculated at the meta-GGA SCAN level.

Cell: 4.5024 4.5024 4.5024 Å, 90.00 90.00 90.00°
With the nearest neighbours (Å) after each atom.
Space group Pm-3m (No. 221)
One atom of each set of equivalent atoms:
Rb  0.0000  0.0000  0.0000 (multiplicity 1)  6 Tc 2.25
Tc  0.0000  0.0000  0.5000 (multiplicity 3)  2 Rb 2.25
Ni  0.5000  0.5000  0.5000 (multiplicity 1)  12 Tc 3.18

Calculated values
As for the formation energy: 3.741 eV/atom. Its size of the total moment is 0.0003 μB/atom.

=====

Copy entry 4 word for word.
Below is a PBEsol-optimized structure of BeTcTe, with properties calculated at the meta-GGA SCAN level.

Cell: 3.2465 3.2465 8.3084 Å, 90.00 90.00 90.00°
With the nearest neighbours (Å) after each atom.
Space group I4mm (No. 107)
One atom of each set of equivalent atoms:
Be  0.0000  0.0000  0.0000 (multiplicity 2)  4 Tc 2.54, 5 Te 2.62-2.76
Tc  0.0000  0.0000  0.6314 (multiplicity 2)  4 Be 2.54, 5 Te 2.63-2.76
Te  0.0000  0.0000  0.3150 (multiplicity 2)  5 Be 2.62-2.76, 5 Tc 2.63-2.76

Calculated values
As for the raw formation energy: 0.134 eV/atom. Its size of the total moment is 0.0001 μB/atom.